! GGA+U BaUMnO6, optimized geometry; values from VASP
&SYSTEM
  ibrav = 0, nat = 9, ntyp = 4
/
ATOMIC_SPECIES
O 16.00 O.upf
Mn 54.94 Mn.upf
Ba 137.33 Ba.upf
U 238.03 U.upf
CELL_PARAMETERS angstrom
-5.373 0.570 0.350
-3.246 -4.175 -1.157
0.182 -1.681 5.543
ATOMIC_POSITIONS crystal
O 0.389 0.630 0.310
O 0.981 0.390 0.310
O 0.630 0.981 0.310
O 0.981 0.629 0.690
O 0.630 0.389 0.690
O 0.389 0.981 0.690
Mn 0.667 0.667 0.500
Ba 0.000 0.000 0.000
U 0.333 0.333 0.500
! - total magnetization (μB/cell) = 2.95
! - calculated density (g/cm3) = 5.9
! - volume (Å³/atom) = 16.3
! - total DFT energy (no corrections) (eV/atom) = -8.159